Computed, not measured: a relaxed structure of ZrInAg3S4 at the PBE level of DFT.

Structure (CIF):
```
data_ZrInAg3S4
_chemical_formula_sum 'Zr2 In2 Ag6 S8'
_space_group_name_H-M_alt 'P 1 21/m 1'
_space_group_IT_number 11
_cell_length_a 6.3108
_cell_length_b 7.7677
_cell_length_c 9.9147
_cell_angle_alpha 90.00
_cell_angle_beta 106.01
_cell_angle_gamma 90.00
loop_
_space_group_symop_operation_xyz
'x,y,z'
'-x,-y,-z'
'-x,y+1/2,-z'
'x,-y+1/2,z'
loop_
_atom_site_label
_atom_site_type_symbol
_atom_site_fract_x
_atom_site_fract_y
_atom_site_fract_z
Zr1 Zr 0.1928 0.2500 0.2974
In1 In 0.1519 0.7500 0.1085
Ag1 Ag 0.2430 0.5518 0.5336
Ag2 Ag 0.3162 0.7500 0.8018
S1 S 0.0441 0.0054 0.7245
S2 S 0.2936 0.2500 0.0815
S3 S 0.4684 0.2500 0.5309
```

Total DFT energy (no corrections) ... -4.56 eV per atom
Polymorph energy (0 for the lowest one) ... 0.042 eV per atom



Computed, not measured: a relaxed structure of HfInSn at the PBE level of DFT.

Structure (CIF):
```
data_HfInSn
_chemical_formula_sum 'Hf4 In4 Sn4'
_space_group_name_H-M_alt 'F -4 3 m'
_space_group_IT_number 216
_space_group_name_Hall 'F -4 2 3'
_cell_length_a 6.9879
_cell_length_b 6.9879
_cell_length_c 6.9879
_cell_angle_alpha 90.00
_cell_angle_beta 90.00
_cell_angle_gamma 90.00
loop_
_atom_site_label
_atom_site_type_symbol
_atom_site_fract_x
_atom_site_fract_y
_atom_site_fract_z
Hf1 Hf 0.0000 0.0000 0.0000
In1 In 0.0000 0.0000 0.5000
Sn1 Sn 0.2500 0.2500 0.2500
```

Total DFT energy (no corrections) ... -5.11 eV per atom



Computed, not measured: a relaxed structure of Y2TmGa3AgPt2 at the PBE level of DFT.

Structure (CIF):
```
data_Y2TmGa3AgPt2
_chemical_formula_sum 'Y4 Tm2 Ga6 Ag2 Pt4'
_space_group_name_H-M_alt 'A m m 2'
_space_group_IT_number 38
_cell_length_a 3.7047
_cell_length_b 12.9968
_cell_length_c 7.5256
_cell_angle_alpha 90.00
_cell_angle_beta 90.00
_cell_angle_gamma 90.00
loop_
_space_group_symop_operation_xyz
'x,y,z'
'-x,-y,z'
'-x,y,z'
'x,-y,z'
'x,y+1/2,z+1/2'
'-x,-y+1/2,z+1/2'
'-x,y+1/2,z+1/2'
'x,-y+1/2,z+1/2'
loop_
_atom_site_label
_atom_site_type_symbol
_atom_site_fract_x
_atom_site_fract_y
_atom_site_fract_z
Y1 Y 0.0000 0.2035 0.0000
Tm1 Tm 0.0000 0.0000 0.6119
Ga1 Ga 0.5000 0.0000 0.9319
Ga2 Ga 0.5000 0.1354 0.3402
Ag1 Ag 0.0000 0.0000 0.2062
Pt1 Pt 0.5000 0.1639 0.7024
```

Total DFT energy (no corrections) ... -5.49 eV per atom



Computed, not measured: a relaxed structure of LiZrAl2Cu2Pd2 at the PBE level of DFT.

Structure (CIF):
```
data_LiZrAl2Cu2Pd2
_chemical_formula_sum 'Li1 Zr1 Al2 Cu2 Pd2'
_space_group_name_H-M_alt 'P -4 m 2'
_space_group_IT_number 115
_cell_length_a 4.3922
_cell_length_b 4.3922
_cell_length_c 6.1926
_cell_angle_alpha 90.00
_cell_angle_beta 90.00
_cell_angle_gamma 90.00
loop_
_space_group_symop_operation_xyz
'x,y,z'
'y,-x,-z'
'-x,-y,z'
'-y,x,-z'
'-x,y,z'
'-y,-x,-z'
'x,-y,z'
'y,x,-z'
loop_
_atom_site_label
_atom_site_type_symbol
_atom_site_fract_x
_atom_site_fract_y
_atom_site_fract_z
Li1 Li 0.0000 0.0000 0.0000
Zr1 Zr 0.5000 0.5000 0.5000
Al1 Al 0.0000 0.0000 0.5000
Al2 Al 0.5000 0.5000 0.0000
Cu1 Cu 0.0000 0.5000 0.7753
Pd1 Pd 0.0000 0.5000 0.2404
```

Total DFT energy (no corrections) ... -4.98 eV per atom



Q: Which value of total DFT energy (no corrections) does entry 3 give?
A: -5.49 eV per atom



Q: Among the records above, which one has the lowest total DFT energy (no corrections)?
A: Y2TmGa3AgPt2



Q: Look up the total DFT energy (no corrections) of the first one.
A: -4.56 eV per atom



Q: total DFT energy (no corrections) of number 4 (LiZrAl2Cu2Pd2)?
A: -4.98 eV per atom